(1)
The following is a PBE-GGA calculation of GaTe2IrI after structural relaxation, from Alexandria.

Cell and atoms, written as POSCAR:
```
GaTe2IrI
1.0
-3.085 -1.409 3.996
-3.832 -1.182 -3.375
1.981 -5.374 -0.366
Ir I Te Ga
1 1 2 1
direct
0.000 0.000 0.000
0.000 0.000 0.500
0.000 0.500 0.000
0.500 0.000 0.000
0.500 0.500 0.500
```

Results
- density of states at the Fermi level (states/eV per cell) = 6.9
- raw total energy (eV per atom) = -3.5941
- offset from the most stable computed form (eV/atom) = 0.000
- raw formation energy (eV per atom) = 0.35
- space-group type = P4/mmm
- mass density (g cm⁻³) = 6.78

---

(2)
The following is a PBE-GGA calculation of GaTe2IrI after structural relaxation, from Alexandria.

Cell and atoms, written as POSCAR:
```
GaTe2IrI
1.0
-4.381 0.082 -3.018
2.948 -1.035 -4.307
-0.653 -5.212 0.806
Te Ga Ir I
2 1 1 1
direct
0.000 0.500 0.000
0.500 0.000 0.000
0.000 0.000 0.000
0.500 0.500 0.500
0.000 0.000 0.500
```

Results
- density of states at the Fermi level (states/eV per cell) = 7.3
- raw total energy (eV per atom) = -2.6950
- offset from the most stable computed form (eV/atom) = 0.899
- raw formation energy (eV per atom) = 1.25
- space-group type = P4/mmm
- mass density (g cm⁻³) = 7.11